Below is a relaxed structure of Ac2NiPdO5, with properties calculated at the GGA+U level.

a = 5.7727 Å, b = 7.2293 Å, c = 7.2293 Å
α = 90.00°, β = 90.00°, γ = 90.00°
Last column: magnetic moment on the atom in μB.
Element x y z (fractional)
Ac 0.5000 0.6775 0.1775  0.00
Ac 0.5000 0.1775 0.3225  0.00
Ac 0.5000 0.8225 0.6775  0.00
Ac 0.5000 0.3225 0.8225  0.00
Ni 0.0000 0.5000 0.5000  1.14
Ni 0.0000 0.0000 0.0000  1.14
Pd 0.0000 0.0000 0.5000  0.31
Pd 0.0000 0.5000 0.0000  0.31
O 0.5000 0.5000 0.5000  0.13
O 0.5000 0.0000 0.0000  0.13
O 0.2453 0.1350 0.6350  0.09
O 0.2453 0.8650 0.3650  0.09
O 0.2453 0.3650 0.1350  0.09
O 0.2453 0.6350 0.8650  0.09
O 0.7547 0.1350 0.6350  0.09
O 0.7547 0.6350 0.8650  0.09
O 0.7547 0.8650 0.3650  0.09
O 0.7547 0.3650 0.1350  0.09

Values from the calculation:
SG: No. 127
E_tot: -6.240 eV/atom